Compound: TaSe2IN
Source: the Alexandria database
Functional: PBE
Structure: relaxed

Unit cell a=5.430 b=5.430 c=3.841 alpha=90.00 beta=90.00 gamma=90.00
Space group P4/mmm (No. 123)
Asymmetric unit:
Ta (0.000, 0.000, 0.000) [1 per cell]
Se (0.000, 0.500, 0.500) [2 per cell]
I (0.500, 0.500, 0.500) [1 per cell]
N (0.500, 0.500, 0.000) [1 per cell]

## Properties
* energy relative to the elements, uncorrected: 1688.2 meV per atom
* D(E_F): 0.72 states/eV per atom
* energy above the lowest structure with this stoichiometry: 1563 meV/atom